No. 1
First-principles (PBE) data for MgZr2Au after structural relaxation, as listed in Alexandria via LeMat-Bulk.

a b c (Å): 3.128 3.128 8.668
angles (deg): 90.00 90.00 90.00
Space group P4/mmm (No. 123)
Asymmetric unit:
Mg (0.000, 0.000, 0.000) x1
Zr (0.500, 0.500, 0.267) x2
Au (0.000, 0.000, 0.500) x1

## Properties
ΔE_f, kcal/mol of atoms: -4.513
Size of the total moment, μB/atom: 0.00

=====

No. 2
First-principles (PBE) data for TaMoRu2 after structural relaxation, as listed in Alexandria via LeMat-Bulk.

a b c (Å): 3.148 4.523 8.726
angles (deg): 90.00 90.00 90.00
Space group Immm (No. 71)
Asymmetric unit:
Ta (0.000, 0.000, 0.000) x2
Mo (0.000, 0.000, 0.500) x2
Ru (0.000, 0.500, 0.260) x4

## Properties
ΔE_f, kcal/mol of atoms: 0.009
Size of the total moment, μB/atom: 0.00

=====

No. 3
First-principles (PBE) data for Ag2PtAu after structural relaxation, as listed in Alexandria via LeMat-Bulk.

a b c (Å): 9.554 2.874 5.082
angles (deg): 90.00 99.30 90.00
Space group Cm (No. 8)
Asymmetric unit:
Ag (0.000, 0.000, 0.000) x2
Ag (0.246, 0.000, 0.750) x2
Pt (0.498, 0.000, 0.500) x2
Au (0.253, 0.500, 0.258) x2

## Properties
ΔE_f, kcal/mol of atoms: -0.148
Size of the total moment, μB/atom: 0.00

=====

No. 4
First-principles (PBE) data for SnPb4F10 after structural relaxation, as listed in Alexandria via LeMat-Bulk.

a b c (Å): 4.2242 4.2242 51.6858
angles (deg): 90.00 90.00 120.00
Space group R-3m (No. 166, hexagonal axes)
Asymmetric unit:
Sn (0.0000, 0.0000, 0.0000) x3
Pb (0.0000, 0.0000, 0.2002) x6
Pb (0.0000, 0.0000, 0.3992) x6
F (0.0000, 0.0000, 0.0488) x6
F (0.0000, 0.0000, 0.1500) x6
F (0.0000, 0.0000, 0.2507) x6
F (0.0000, 0.0000, 0.3491) x6
F (0.0000, 0.0000, 0.4496) x6

## Properties
Size of the total moment, μB/atom: 0.00
Uncorrected formation energy, eV per atom: -2.365

=====

No. 5
First-principles (PBE) data for Pm3HoTl3Te8 after structural relaxation, as listed in Alexandria via LeMat-Bulk.

a b c (Å): 15.510 8.944 9.670
angles (deg): 90.00 122.34 90.00
Space group C2/m (No. 12)
Asymmetric unit:
Pm (0.000, 0.000, 0.000) x2
Pm (0.250, 0.250, 0.000) x4
Ho (0.000, 0.500, 0.000) x2
Tl (0.000, 0.500, 0.500) x2
Tl (0.250, 0.250, 0.500) x4
Te (0.009, 0.255, 0.783) x8
Te (0.236, 0.500, 0.217) x4
Te (0.241, 0.000, 0.222) x4

## Properties
Size of the total moment, μB/atom: 0.00
Uncorrected formation energy, eV per atom: -1.061

=====

No. 6
First-principles (PBE) data for Pa2AsAu after structural relaxation, as listed in Alexandria via LeMat-Bulk.

a b c (Å): 7.180 7.180 7.180
angles (deg): 90.00 90.00 90.00
Space group Fm-3m (No. 225)
Asymmetric unit:
Pa (0.250, 0.250, 0.250) x8
As (0.000, 0.000, 0.000) x4
Au (0.000, 0.000, 0.500) x4

## Properties
ΔE_f, kcal/mol of atoms: -7.875
Size of the total moment, μB/atom: 0.87

=====

No. 7
First-principles (PBE) data for La2Pm5SmTh after structural relaxation, as listed in Alexandria via LeMat-Bulk.

a b c (Å): 5.775 20.513 10.715
angles (deg): 90.00 90.00 90.00
Space group Cmc2_1 (No. 36)
Asymmetric unit:
La (0.000, 0.116, 0.000) x4
La (0.000, 0.117, 0.590) x4
Pm (0.000, 0.017, 0.292) x4
Pm (0.000, 0.276, 0.584) x4
Pm (0.000, 0.295, 0.974) x4
Pm (0.000, 0.389, 0.294) x4
Pm (0.000, 0.480, 0.011) x4
Sm (0.000, 0.409, 0.724) x4
Th (0.000, 0.201, 0.281) x4

## Properties
ΔE_f, kcal/mol of atoms: 3.354
Size of the total moment, μB/atom: 0.00

=====

No. 8
First-principles (PBE) data for K4PrTh3S8 after structural relaxation, as listed in Alexandria via LeMat-Bulk.

a b c (Å): 8.2616 8.2616 22.4674
angles (deg): 90.00 90.00 120.00
Space group R-3m (No. 166, hexagonal axes)
Asymmetric unit:
K (0.0000, 0.0000, 0.0000) x3
K (0.0000, 0.5000, 0.0000) x9
Pr (0.0000, 0.0000, 0.5000) x3
Th (0.0000, 0.5000, 0.5000) x9
S (0.0000, 0.0000, 0.2374) x6
S (0.0074, 0.5037, 0.7623) x18

## Properties
Size of the total moment, μB/atom: 0.00
Uncorrected formation energy, eV per atom: -1.718

=====

No. 9
First-principles (PBE) data for CsPW3 after structural relaxation, as listed in Alexandria via LeMat-Bulk.

a b c (Å): 4.689 4.689 4.689
angles (deg): 90.00 90.00 90.00
Space group Pm-3m (No. 221)
Asymmetric unit:
Cs (0.000, 0.000, 0.000) x1
P (0.500, 0.500, 0.500) x1
W (0.000, 0.500, 0.500) x3

## Properties
ΔE_f, kcal/mol of atoms: 42.347
Size of the total moment, μB/atom: 0.00

=====

No. 10
First-principles (PBE) data for Fe2AgTe after structural relaxation, as listed in Alexandria via LeMat-Bulk.

a b c (Å): 4.015 4.015 18.523
angles (deg): 90.00 90.00 90.00
Space group I-42d (No. 122)
Asymmetric unit:
Fe (0.194, 0.250, 0.125) x8
Ag (0.000, 0.000, 0.500) x4
Te (0.000, 0.000, 0.000) x4

## Properties
Size of the total moment, μB/atom: 1.32
Uncorrected formation energy, eV per atom: 0.615

=====

No. 11
First-principles (PBE) data for BaSr2RhN2 after structural relaxation, as listed in Alexandria via LeMat-Bulk.

a b c (Å): 6.046 11.148 4.180
angles (deg): 90.00 90.00 90.00
Space group Pnnm (No. 58)
Asymmetric unit:
Ba (0.000, 0.000, 0.000) x2
Sr (0.027, 0.298, 0.500) x4
Rh (0.000, 0.500, 0.000) x2
N (0.240, 0.372, 0.000) x4

## Properties
Size of the total moment, μB/atom: 0.17
Uncorrected formation energy, eV per atom: -0.383

=====

No. 12
First-principles (PBE) data for LaY2In2 after structural relaxation, as listed in Alexandria via LeMat-Bulk.

a b c (Å): 4.919 4.919 13.558
angles (deg): 90.00 90.00 90.00
Space group I4/mmm (No. 139)
Asymmetric unit:
La (0.000, 0.000, 0.000) x2
Y (0.000, 0.000, 0.381) x4
In (0.000, 0.500, 0.250) x4

## Properties
ΔE_f, kcal/mol of atoms: -1.307
Size of the total moment, μB/atom: 0.00

=====

Total DFT energy (no corrections) for every record listed, in sequence, given in eV/atom: -5.688, -10.308, -3.762, -4.868, -4.465, -7.071, -4.938, -5.746, -7.188, -5.115, -5.264, -4.723.